(1)
A geometry-optimized SrNiO3 structure. Source: the Alexandria database, functional PBE with a Hubbard U.

Values from the calculation:
The final energy is -4.9401 eV per atom. The magnetic moment comes out at 0.00 μB per formula unit. The calculation puts the volume at 13.1 A^3/atom.

extended XYZ file:
```
20
Lattice="0.000 5.077 5.077 5.077 0.000 5.077 5.077 5.077 0.000" Properties=species:S:1:pos:R:3 pbc="T T T"
Sr 0.000 0.000 0.000
Sr 2.539 2.539 0.000
Sr 2.539 0.000 2.539
Sr 0.000 2.539 2.539
Ni 5.077 2.539 2.539
Ni 2.539 5.077 2.539
Ni 2.539 2.539 5.077
Ni 5.077 5.077 5.077
O 3.808 3.808 1.725
O 3.808 1.725 3.808
O 5.891 3.808 3.808
O 6.347 6.347 4.264
O 6.347 4.264 6.347
O 8.429 6.347 6.347
O 1.725 3.808 3.808
O 3.808 5.891 3.808
O 3.808 3.808 5.891
O 4.264 6.347 6.347
O 6.347 8.429 6.347
O 6.347 6.347 8.429
```

---

(2)
A geometry-optimized SrNiO3 structure. Source: the Alexandria database, functional PBE with a Hubbard U.

Values from the calculation:
The final energy is -5.1228 eV per atom. The magnetic moment comes out at 1.41 μB per formula unit. The calculation puts the volume at 13.9 A^3/atom.

extended XYZ file:
```
10
Lattice="-1.929 1.929 9.369 1.929 -1.929 9.369 1.929 1.929 -9.369" Properties=species:S:1:pos:R:3 pbc="T T T"
Sr 0.000 0.000 1.758
Sr 0.000 0.000 16.979
Ni 0.000 0.000 9.369
Ni 0.000 1.929 4.684
O 1.929 0.000 0.107
O 1.929 1.191 -3.132
O 1.929 0.000 9.262
O 0.000 0.738 6.236
O 1.191 1.929 3.132
O 0.738 0.000 12.501
```

---

Which of these has the highest final energy? number 1

---

Repeat the first record exactly.
A geometry-optimized SrNiO3 structure. Source: the Alexandria database, functional PBE with a Hubbard U.

Values from the calculation:
The final energy is -4.9401 eV per atom. The magnetic moment comes out at 0.00 μB per formula unit. The calculation puts the volume at 13.1 A^3/atom.

extended XYZ file:
```
20
Lattice="0.000 5.077 5.077 5.077 0.000 5.077 5.077 5.077 0.000" Properties=species:S:1:pos:R:3 pbc="T T T"
Sr 0.000 0.000 0.000
Sr 2.539 2.539 0.000
Sr 2.539 0.000 2.539
Sr 0.000 2.539 2.539
Ni 5.077 2.539 2.539
Ni 2.539 5.077 2.539
Ni 2.539 2.539 5.077
Ni 5.077 5.077 5.077
O 3.808 3.808 1.725
O 3.808 1.725 3.808
O 5.891 3.808 3.808
O 6.347 6.347 4.264
O 6.347 4.264 6.347
O 8.429 6.347 6.347
O 1.725 3.808 3.808
O 3.808 5.891 3.808
O 3.808 3.808 5.891
O 4.264 6.347 6.347
O 6.347 8.429 6.347
O 6.347 6.347 8.429
```